Nb6Pd2Se15 after structural relaxation, computed with GGA-PBE. Values from VASP.

Cell and atoms, written as Quantum ESPRESSO input:
```
&SYSTEM
  ibrav = 0, nat = 46, ntyp = 3
/
ATOMIC_SPECIES
Se 78.96 Se.upf
Nb 92.91 Nb.upf
Pd 106.42 Pd.upf
ATOMIC_POSITIONS crystal
Se 0.477 0.813 0.010
Se 0.685 0.618 0.201
Se 0.184 0.527 0.989
Se 0.212 0.003 0.629
Se 0.731 0.453 0.821
Se 0.353 0.955 0.199
Se 0.021 0.288 0.199
Se 0.788 0.997 0.371
Se 0.061 0.120 0.823
Se 0.847 0.851 0.991
Se 0.552 0.675 0.626
Se 0.979 0.712 0.801
Se 0.816 0.473 0.011
Se 0.269 0.547 0.179
Se 0.469 0.268 0.607
Se 0.315 0.382 0.799
Se 0.531 0.732 0.393
Se 0.799 0.930 0.604
Se 0.136 0.597 0.605
Se 0.939 0.880 0.177
Se 0.448 0.325 0.374
Se 0.523 0.187 0.990
Se 0.394 0.790 0.820
Se 0.201 0.070 0.396
Se 0.864 0.403 0.395
Se 0.116 0.663 0.373
Se 0.884 0.337 0.627
Se 0.647 0.045 0.801
Se 0.606 0.210 0.180
Se 0.153 0.149 0.009
Nb 0.819 0.718 0.316
Nb 0.850 0.614 0.680
Nb 0.027 0.397 0.879
Nb 0.507 0.957 0.681
Nb 0.150 0.386 0.320
Nb 0.181 0.282 0.684
Nb 0.973 0.603 0.121
Nb 0.310 0.271 0.119
Nb 0.493 0.043 0.319
Nb 0.643 0.933 0.122
Nb 0.690 0.729 0.881
Nb 0.357 0.067 0.878
Pd 0.667 0.835 0.497
Pd 0.500 0.500 0.000
Pd 0.000 0.500 0.500
Pd 0.333 0.165 0.503
CELL_PARAMETERS angstrom
8.468 0.085 -0.114
2.165 8.180 -0.106
1.421 3.247 15.318
```

Values from the calculation:
Uncorrected formation energy = -0.76 eV per atom
Energy = -281.3 eV per cell
Symmetry = P-1 (2)
Calculated density = 6.1 g/cm³